1.
Here is Ac2PrAg6 after structural relaxation from Alexandria via LeMat-Bulk. Energies are from GGA-PBE.

Calculated values
Formation energy = -2.5 eV/f.u.
Energy relative to the lowest polymorph listed for this composition = 0 meV/atom
Total magnetization = 0.000 μB/atom

```
Ac2PrAg6
1.0
8.385 0.000 0.000
-4.192 7.261 0.000
0.000 0.000 3.916
Ac Pr Ag
2 1 6
direct
0.333 0.667 0.000
0.667 0.333 0.000
0.000 0.000 0.000
0.000 0.331 0.500
0.000 0.669 0.500
0.331 0.000 0.500
0.331 0.331 0.500
0.669 0.000 0.500
0.669 0.669 0.500
```

***

2.
Here is AcPrAgRu after structural relaxation from Alexandria via LeMat-Bulk. Energies are from GGA-PBE.

Calculated values
Formation energy = -0.5 eV/f.u.
Total magnetization = 0.000 μB/atom

```
AcPrAgRu
1.0
0.000 3.727 3.727
3.727 0.000 3.727
3.727 3.727 0.000
Ac Pr Ag Ru
1 1 1 1
direct
0.000 0.000 0.000
0.500 0.500 0.500
0.750 0.750 0.750
0.250 0.250 0.250
```

***

3.
Here is AcPrAgSb after structural relaxation from Alexandria via LeMat-Bulk. Energies are from GGA-PBE.

Calculated values
Total magnetization = 0.000 μB/atom

```
AcPrAgSb
1.0
0.000 3.933 3.933
3.933 0.000 3.933
3.933 3.933 0.000
Ac Pr Ag Sb
1 1 1 1
direct
0.000 0.000 0.000
0.500 0.500 0.500
0.250 0.250 0.250
0.750 0.750 0.750
```

***

DFT total energy in eV per cell, matching the order above: -32.6 -21.5 -18.1
Density in g/cm3, matching the order above: 8.65 9.25 8.15